No. 1
This record from the Alexandria database describes crystalline Na3CuO2 at its relaxed geometry. The functional is GGA-PBEsol.

abc: 5.932 5.932 5.932
angles: 68.37 68.37 68.37
Element x y z (fractional)
Na: 0.010 0.750 0.490
Na: 0.250 0.510 0.990
Na: 0.490 0.010 0.750
Na: 0.510 0.990 0.250
Na: 0.750 0.490 0.010
Na: 0.990 0.250 0.510
Cu: 0.000 0.000 0.000
Cu: 0.500 0.500 0.500
O: 0.132 0.132 0.132
O: 0.368 0.368 0.368
O: 0.632 0.632 0.632
O: 0.868 0.868 0.868

- crystal system = trigonal
- SG = No. 167
- DFT total energy (eV per atom) = -4.24
- formation energy without anion corrections (eV/atom) = -1.066

***

No. 2
This record from the Alexandria database describes crystalline CdCu2Au at its relaxed geometry. The functional is GGA-PBEsol.

abc: 4.651 4.651 4.827
angles: 100.79 100.79 35.86
Element x y z (fractional)
Cd: 0.000 0.000 0.000
Cu: 0.247 0.247 0.738
Cu: 0.753 0.753 0.262
Au: 0.500 0.500 0.500

- crystal system = monoclinic
- DFT formation energy (eV/f.u.) = 0.1
- SG = No. 12
- DFT total energy (eV per atom) = -3.41